# 1
Below is crystalline Pr3NdTm at its relaxed geometry, with properties calculated at the PBE level.

Unit cell a=7.149 b=9.504 c=8.810 alpha=135.65 beta=90.00 gamma=112.09
Sites, in units of the cell vectors:
1 Tm 0.944 0.888 0.114
2 Pr 0.904 0.308 0.693
3 Pr 0.096 0.692 0.307
4 Pr 0.249 0.499 0.497
5 Pr 0.751 0.501 0.503
6 Nd 0.443 0.886 0.112
7 Pr 0.596 0.692 0.307
8 Tm 0.056 0.112 0.886
9 Pr 0.404 0.308 0.693
10 Nd 0.557 0.114 0.888

Summary:
Uncorrected energy: -4.586 eV per atom
Magnetic moment: 0.0 μB/f.u.
DOS(E_F): 1.7618 states/eV/atom

# 2
Below is crystalline TaFe2Tc at its relaxed geometry, with properties calculated at the PBE level.

Unit cell a=8.838 b=8.838 c=8.838 alpha=17.82 beta=17.82 gamma=17.82
Sites, in units of the cell vectors:
1 Fe 0.004 0.004 0.004
2 Ta 0.250 0.250 0.250
3 Fe 0.496 0.496 0.496
4 Tc 0.750 0.750 0.750

Summary:
Uncorrected energy: -9.527 eV per atom
Magnetic moment: 3.7 μB/f.u.
DOS(E_F): 1.2091 states/eV/atom

# 3
Below is crystalline Tb8Er6In at its relaxed geometry, with properties calculated at the PBE level.

Unit cell a=6.332 b=9.289 c=9.289 alpha=120.00 beta=90.00 gamma=90.00
Sites, in units of the cell vectors:
1 Tb 0.816 0.731 0.771
2 Er 0.677 0.905 0.549
3 In 0.500 0.000 0.000
4 Er 0.323 0.356 0.905
5 Tb 0.184 0.771 0.041
6 Tb 0.184 0.269 0.229
7 Tb 0.816 0.229 0.959
8 Er 0.323 0.549 0.644
9 Tb 0.183 0.667 0.333
10 Er 0.677 0.644 0.095
11 Er 0.677 0.451 0.356
12 Er 0.323 0.095 0.451
13 Tb 0.184 0.959 0.731
14 Tb 0.816 0.041 0.269
15 Tb 0.817 0.333 0.667

Summary:
Uncorrected energy: -4.389 eV per atom
Magnetic moment: 0.0 μB/f.u.
DOS(E_F): 1.2036 states/eV/atom

# 4
Below is crystalline LiSm5Sb4 at its relaxed geometry, with properties calculated at the PBE level.

Unit cell a=6.341 b=7.679 c=7.679 alpha=80.18 beta=65.61 gamma=65.61
Sites, in units of the cell vectors:
1 Sb 0.760 0.811 0.608
2 Sm 0.655 0.210 0.415
3 Sm 0.070 0.585 0.210
4 Sm 0.617 0.000 0.000
5 Sm 0.280 0.790 0.585
6 Sb 0.368 0.392 0.811
7 Li 0.146 0.000 0.000
8 Sb 0.179 0.189 0.392
9 Sm 0.865 0.415 0.790
10 Sb 0.571 0.608 0.189

Summary:
Raw formation energy: -0.857 eV/atom
Uncorrected energy: -5.057 eV per atom
Magnetic moment: 0.0 μB/f.u.
DOS(E_F): 0.5340 states/eV/atom

# 5
Below is crystalline KLi2La at its relaxed geometry, with properties calculated at the PBE level.

Unit cell a=8.865 b=8.865 c=7.248 alpha=52.30 beta=52.30 gamma=90.00
Sites, in units of the cell vectors:
1 K 0.500 0.500 0.000
2 Li 0.618 0.125 0.250
3 Li 0.875 0.868 0.750
4 K 0.250 0.750 0.500
5 Li 0.132 0.625 0.250
6 La 0.750 0.250 0.500
7 Li 0.375 0.382 0.750
8 La 0.000 0.000 0.000

Summary:
Uncorrected energy: -1.976 eV per atom
Magnetic moment: 1.0 μB/f.u.
DOS(E_F): 0.9324 states/eV/atom

# 6
Below is crystalline Pm4Al3Tl at its relaxed geometry, with properties calculated at the PBE level.

Unit cell a=3.725 b=3.725 c=15.213 alpha=90.00 beta=90.00 gamma=90.00
Sites, in units of the cell vectors:
1 Tl 0.500 0.500 0.000
2 Pm 0.000 0.000 0.137
3 Pm 0.000 0.000 0.863
4 Pm 0.000 0.000 0.380
5 Pm 0.000 0.000 0.620
6 Al 0.500 0.500 0.500
7 Al 0.500 0.500 0.742
8 Al 0.500 0.500 0.258

Summary:
Uncorrected energy: -4.446 eV per atom
Magnetic moment: 0.0 μB/f.u.
DOS(E_F): 0.4685 states/eV/atom

# 7
Below is crystalline AlTe3 at its relaxed geometry, with properties calculated at the PBE level.

Unit cell a=3.901 b=6.403 c=9.640 alpha=90.00 beta=90.00 gamma=90.00
Sites, in units of the cell vectors:
1 Te 0.000 0.500 0.485
2 Al 0.000 0.000 0.711
3 Te 0.000 0.751 0.140
4 Te 0.500 0.251 0.860
5 Te 0.500 0.000 0.515
6 Te 0.000 0.249 0.140
7 Al 0.500 0.500 0.289
8 Te 0.500 0.749 0.860

Summary:
Raw formation energy: 0.015 eV/atom
Uncorrected energy: -3.277 eV per atom
Magnetic moment: 0.0 μB/f.u.
DOS(E_F): 0.6954 states/eV/atom

# 8
Below is crystalline AcTb2Dy7 at its relaxed geometry, with properties calculated at the PBE level.

Unit cell a=5.726 b=9.111 c=9.111 alpha=122.40 beta=90.00 gamma=90.00
Sites, in units of the cell vectors:
1 Dy 0.000 0.228 0.772
2 Dy 0.500 0.059 0.297
3 Dy 0.500 0.297 0.059
4 Tb 0.500 0.703 0.297
5 Tb 0.500 0.297 0.703
6 Ac 0.000 0.000 0.000
7 Dy 0.500 0.703 0.941
8 Dy 0.000 0.772 0.228
9 Dy 0.500 0.941 0.703
10 Dy 0.500 0.500 0.500

Summary:
Uncorrected energy: -3.881 eV per atom
Magnetic moment: 0.0 μB/f.u.
DOS(E_F): 1.2454 states/eV/atom

# 9
Below is crystalline CdAgPdPt at its relaxed geometry, with properties calculated at the PBE level.

Unit cell a=3.869 b=4.189 c=4.199 alpha=90.00 beta=90.00 gamma=90.00
Sites, in units of the cell vectors:
1 Ag 0.000 0.500 0.500
2 Cd 0.000 0.000 0.000
3 Pt 0.500 0.500 0.000
4 Pd 0.500 0.000 0.500

Summary:
Uncorrected energy: -3.943 eV per atom
Magnetic moment: 0.0 μB/f.u.
DOS(E_F): 0.5367 states/eV/atom

# 10
Below is crystalline USiRu3 at its relaxed geometry, with properties calculated at the PBE level.

Unit cell a=6.131 b=6.131 c=6.131 alpha=104.10 beta=126.47 gamma=99.33
Sites, in units of the cell vectors:
1 Ru 0.285 0.035 0.750
2 Ru 0.000 0.685 0.185
3 Ru 0.000 0.315 0.815
4 U 0.012 0.262 0.250
5 U 0.988 0.738 0.750
6 Si 0.500 0.000 0.500
7 Ru 0.500 0.315 0.315
8 Si 0.500 0.500 0.000
9 Ru 0.715 0.965 0.250
10 Ru 0.500 0.685 0.685

Summary:
Raw formation energy: -0.372 eV/atom
Uncorrected energy: -9.279 eV per atom
Magnetic moment: 0.0 μB/f.u.
DOS(E_F): 0.9587 states/eV/atom

# 11
Below is crystalline MnBeInGa2 at its relaxed geometry, with properties calculated at the PBE level.

Unit cell a=5.179 b=5.148 c=5.179 alpha=90.00 beta=90.00 gamma=90.00
Sites, in units of the cell vectors:
1 Be 0.500 0.500 0.500
2 Ga 0.500 0.000 0.000
3 In 0.000 0.000 0.000
4 Ga 0.000 0.000 0.500
5 Mn 0.000 0.500 0.000

Summary:
Uncorrected energy: -3.085 eV per atom
Magnetic moment: 4.1 μB/f.u.
DOS(E_F): 0.5721 states/eV/atom

# 12
Below is crystalline KP2 at its relaxed geometry, with properties calculated at the PBE level.

Unit cell a=5.006 b=5.006 c=2.829 alpha=90.00 beta=90.00 gamma=120.00
Sites, in units of the cell vectors:
1 P 0.667 0.333 0.500
2 K 0.000 0.000 0.000
3 P 0.333 0.667 0.500

Summary:
Uncorrected energy: -3.565 eV per atom
Magnetic moment: 0.0 μB/f.u.
DOS(E_F): 0.4176 states/eV/atom